Crystalline BaIO2 at its relaxed geometry, computed with GGA-PBE.

a = 5.090 Å, b = 5.090 Å, c = 8.044 Å
α = 71.56°, β = 71.56°, γ = 90.00°
Fractional coordinates of all 8 atoms:
I: 0.500 0.500 0.000
I: 0.250 0.750 0.500
Ba: 0.000 0.000 0.000
Ba: 0.750 0.250 0.500
O: 0.567 0.125 0.250
O: 0.183 0.625 0.250
O: 0.375 0.433 0.750
O: 0.875 0.817 0.750

Output
- Raw formation energy: -955 meV/atom
- Magnetization: 0.00 μB/cell